# Pr8DyTm4

A relaxed structure of Pr8DyTm4 (PBE, Alexandria via LeMat-Bulk).

a = 10.6748 Å, b = 10.6748 Å, c = 10.6748 Å
α = 39.74°, β = 39.74°, γ = 39.74°
Last column: nearest neighbours and their distance in Å.
Sites, in units of the cell vectors:
Pr (0.2110, 0.7513, 0.7513)  1 Dy 3.09, 2 Pr 3.34, 1 Tm 3.41
Pr (0.2120, 0.2120, 0.2120)  9 Pr 3.71-3.94, 3 Tm 4.14
Pr (0.2487, 0.2487, 0.7890)  1 Dy 3.09, 2 Pr 3.34, 1 Tm 3.41
Pr (0.2487, 0.7890, 0.2487)  1 Dy 3.09, 2 Pr 3.34, 1 Tm 3.41
Pr (0.7513, 0.2110, 0.7513)  1 Dy 3.09, 2 Pr 3.34, 1 Tm 3.41
Pr (0.7513, 0.7513, 0.2110)  1 Dy 3.09, 2 Pr 3.34, 1 Tm 3.41
Pr (0.7880, 0.7880, 0.7880)  9 Pr 3.71-3.94, 3 Tm 4.14
Pr (0.7890, 0.2487, 0.2487)  1 Dy 3.09, 2 Pr 3.34, 1 Tm 3.41
Dy (0.5000, 0.5000, 0.5000)  6 Pr 3.09
Tm (0.0000, 0.0000, 0.0000)  6 Pr 3.41, 6 Tm 3.63
Tm (0.0000, 0.5000, 0.5000)  4 Pr 3.56, 6 Tm 3.63
Tm (0.5000, 0.0000, 0.5000)  4 Pr 3.56, 6 Tm 3.63
Tm (0.5000, 0.5000, 0.0000)  4 Pr 3.56, 6 Tm 3.63

Values from the calculation:
The mass density is 7.290 Mg/m³. For the calculated total energy, the calculation gives -58.228 eV for the cell shown. As for the space group: R-3m (166). As for the density of states at the Fermi level: 14.236 states/eV per cell.


# LiScPa2O8

A relaxed structure of LiScPa2O8 (PBE, Alexandria via LeMat-Bulk).

a = 6.0502 Å, b = 6.0502 Å, c = 4.5152 Å
α = 90.00°, β = 90.00°, γ = 120.00°
Last column: nearest neighbours and their distance in Å.
Sites, in units of the cell vectors:
Li (0.0000, 0.0000, 0.0000)  6 O 2.00
Sc (0.0000, 0.0000, 0.5000)  6 O 2.23, 2 Li 2.26
Pa (0.3333, 0.6667, 0.0014)  8 O 2.26-2.33
Pa (0.6667, 0.3333, 0.9986)  8 O 2.26-2.33
O (0.0005, 0.2949, 0.2019)  1 Li 2.00, 1 Sc 2.23
O (0.2943, 0.9995, 0.2019)  1 Li 2.00, 1 Sc 2.23
O (0.2949, 0.2943, 0.7981)  1 Li 2.00, 1 Sc 2.23
O (0.3333, 0.6667, 0.5014)  2 Pa 2.26
O (0.6667, 0.3333, 0.4986)  2 Pa 2.26
O (0.7051, 0.7057, 0.2019)  1 Li 2.00, 1 Sc 2.23
O (0.7057, 0.0005, 0.7981)  1 Li 2.00, 1 Sc 2.23
O (0.9995, 0.7051, 0.7981)  1 Li 2.00, 1 Sc 2.23

Values from the calculation:
The formation energy (no corrections) comes out at -2.532 eV/atom. The mass density is 7.447 Mg/m³. For the calculated total energy, the calculation gives -97.284 eV for the cell shown. As for the space group: P-3 (147). As for the density of states at the Fermi level: 5.050 states/eV per cell.


# YCoHgTe2

A relaxed structure of YCoHgTe2 (PBE, Alexandria via LeMat-Bulk).

a = 5.8548 Å, b = 5.8548 Å, c = 5.4136 Å
α = 90.00°, β = 90.00°, γ = 90.00°
Last column: nearest neighbours and their distance in Å.
Sites, in units of the cell vectors:
Y (0.0000, 0.0000, 0.0000)  2 Co 2.71, 4 Te 2.93
Co (0.0000, 0.0000, 0.5000)  2 Y 2.71
Hg (0.5000, 0.5000, 0.5000)  8 Te 3.99, 4 Co 4.14
Te (0.0000, 0.5000, 0.0000)  2 Y 2.93
Te (0.5000, 0.0000, 0.0000)  2 Y 2.93

Values from the calculation:
The formation energy (no corrections) comes out at 0.453 eV/atom. The mass density is 5.401 Mg/m³. For the calculated total energy, the calculation gives -17.889 eV for the cell shown. As for the space group: P4/mmm (123). As for the density of states at the Fermi level: 8.343 states/eV per cell.


# Sc2Tl2S

A relaxed structure of Sc2Tl2S (PBE, Alexandria via LeMat-Bulk).

a = 10.8219 Å, b = 10.8219 Å, c = 10.8219 Å
α = 18.97°, β = 18.97°, γ = 18.97°
Last column: nearest neighbours and their distance in Å.
Sites, in units of the cell vectors:
Sc (0.2128, 0.2128, 0.2128)  3 S 2.53
Sc (0.7872, 0.7872, 0.7872)  3 S 2.53
Tl (0.0461, 0.0461, 0.0461)  1 Tl 2.94, 3 Sc 3.14
Tl (0.9539, 0.9539, 0.9539)  1 Tl 2.94, 3 Sc 3.14
S (0.5000, 0.5000, 0.5000)  6 Sc 2.53

Values from the calculation:
The formation energy (no corrections) comes out at -0.821 eV/atom. The calculation puts the energy above the most stable polymorph in this dataset at 0.000 eV/atom. The mass density is 7.529 Mg/m³. For the calculated total energy, the calculation gives -25.630 eV for the cell shown. As for the space group: R-3m (166). As for the density of states at the Fermi level: 2.772 states/eV per cell.